Record 1
This record from Alexandria via LeMat-Bulk describes a relaxed structure of HgAsAu2. The functional is PBE-GGA.

Cell lengths 4.152, 4.275, 8.804 Å; angles 90.00, 90.00, 90.00 degrees
Fractional coordinates of all 8 atoms:
1 Hg 0.000 0.000 0.000
2 Hg 0.500 0.500 0.500
3 As 0.000 0.000 0.500
4 As 0.500 0.500 0.000
5 Au 0.000 0.500 0.248
6 Au 0.000 0.500 0.752
7 Au 0.500 0.000 0.252
8 Au 0.500 0.000 0.748

Output
**Energy of formation**: 0.22 eV per atom
**N(E_F)**: 3.00 states/eV per cell



Record 2
This record from Alexandria via LeMat-Bulk describes a relaxed structure of Hg2As2Au. The functional is PBE-GGA.

Cell lengths 5.540, 5.540, 10.161 Å; angles 90.00, 90.00, 90.00 degrees
Fractional coordinates of all 10 atoms:
1 Hg 0.000 0.500 0.250
2 Hg 0.000 0.500 0.750
3 Hg 0.500 0.000 0.250
4 Hg 0.500 0.000 0.750
5 As 0.000 0.000 0.242
6 As 0.000 0.000 0.758
7 As 0.500 0.500 0.258
8 As 0.500 0.500 0.742
9 Au 0.000 0.000 0.000
10 Au 0.500 0.500 0.500

Output
**Energy of formation**: 0.20 eV per atom
**Offset from the most stable computed form**: 123 meV/atom
**N(E_F)**: 3.29 states/eV per cell



Record 3
This record from Alexandria via LeMat-Bulk describes a relaxed structure of Hg2As2Au. The functional is PBE-GGA.

Cell lengths 6.686, 6.686, 5.667 Å; angles 90.00, 90.00, 90.00 degrees
Fractional coordinates of all 10 atoms:
1 Hg 0.165 0.335 0.000
2 Hg 0.335 0.835 0.000
3 Hg 0.665 0.165 0.000
4 Hg 0.835 0.665 0.000
5 As 0.136 0.364 0.500
6 As 0.364 0.864 0.500
7 As 0.636 0.136 0.500
8 As 0.864 0.636 0.500
9 Au 0.000 0.000 0.500
10 Au 0.500 0.500 0.500

Output
**Energy of formation**: 0.07 eV per atom
**Offset from the most stable computed form**: 0 meV/atom
**N(E_F)**: 4.13 states/eV per cell



Record 4
This record from Alexandria via LeMat-Bulk describes a relaxed structure of HgAs2Au2. The functional is PBE-GGA.

Cell lengths 7.512, 7.512, 3.618 Å; angles 90.00, 90.00, 90.00 degrees
Fractional coordinates of all 10 atoms:
1 Hg 0.000 0.000 0.000
2 Hg 0.500 0.500 0.000
3 As 0.164 0.336 0.500
4 As 0.336 0.836 0.500
5 As 0.664 0.164 0.500
6 As 0.836 0.664 0.500
7 Au 0.136 0.636 0.000
8 Au 0.364 0.136 0.000
9 Au 0.636 0.864 0.000
10 Au 0.864 0.364 0.000

Output
**Energy of formation**: 0.28 eV per atom
**Offset from the most stable computed form**: 65 meV/atom
**N(E_F)**: 5.30 states/eV per cell



Record 5
This record from Alexandria via LeMat-Bulk describes a relaxed structure of HgAs2Au. The functional is PBE-GGA.

Cell lengths 11.471, 3.677, 4.572 Å; angles 90.00, 105.24, 90.00 degrees
Fractional coordinates of all 8 atoms:
1 Hg 0.000 0.000 0.000
2 Hg 0.500 0.500 0.000
3 As 0.232 0.500 0.666
4 As 0.268 0.000 0.334
5 As 0.732 0.000 0.666
6 As 0.768 0.500 0.334
7 Au 0.000 0.500 0.500
8 Au 0.500 0.000 0.500

Output
**Energy of formation**: 0.01 eV per atom
**Offset from the most stable computed form**: 0 meV/atom
**N(E_F)**: 2.88 states/eV per cell



Record 6
This record from Alexandria via LeMat-Bulk describes a relaxed structure of HgAs2Au. The functional is PBE-GGA.

Cell lengths 2.923, 5.243, 5.307 Å; angles 90.00, 90.00, 90.00 degrees
Fractional coordinates of all 4 atoms:
1 Hg 0.000 0.000 0.000
2 As 0.000 0.500 0.500
3 As 0.500 0.500 0.000
4 Au 0.500 0.000 0.500

Output
**Energy of formation**: 0.30 eV per atom
**Offset from the most stable computed form**: 296 meV/atom
**N(E_F)**: 1.73 states/eV per cell